Entry 1:
The following is a PBE calculation of LiTc4Ru after structural relaxation, from Alexandria.

Size of the total moment: 0.0 μB per formula unit

Unit cell a=7.169 b=7.169 c=7.169 alpha=90.00 beta=90.00 gamma=90.00
Space group F-43m (No. 216)
Unique sites:
Li1 0.000 0.000 0.000 (multiplicity 4)
Tc1 0.126 0.126 0.374 (multiplicity 16)
Ru1 0.250 0.250 0.750 (multiplicity 4)

Entry 2:
The following is a PBE calculation of LiTcRu after structural relaxation, from Alexandria.

Size of the total moment: 0.1 μB per formula unit
E above lowest polymorph: 129 meV per atom

Unit cell a=2.833 b=4.478 c=13.696 alpha=90.00 beta=90.00 gamma=90.00
Space group Fmm2 (No. 42)
Unique sites:
Li1 0.000 0.000 0.000 (multiplicity 4)
Tc1 0.000 0.000 0.674 (multiplicity 4)
Ru1 0.000 0.000 0.332 (multiplicity 4)

Entry 3:
The following is a PBE calculation of LiTcRu after structural relaxation, from Alexandria.

Size of the total moment: 0.0 μB per formula unit
E above lowest polymorph: 18 meV per atom

Unit cell a=4.2415 b=4.2415 c=2.6060 alpha=90.00 beta=90.00 gamma=120.00
Space group P3m1 (No. 156)
Unique sites:
Li1 0.0000 0.0000 0.0000 (multiplicity 1)
Tc1 0.3333 0.6667 0.6331 (multiplicity 1)
Ru1 0.6667 0.3333 0.3552 (multiplicity 1)

| no. | uncorrected energy (eV per atom) |
| --- | --- |
| 1 | -8.37 |
| 2 | -6.91 |
| 3 | -7.02 |